First-principles (PBE) data for TaAs2Pt after structural relaxation, as listed in the Alexandria database.

Summary:
ΔH_f (0 K): -52.7 kJ/mol of formula units
Offset from the most stable computed form: 0.66 eV per formula unit
Space-group type: P2/m (10)
Magnetic moment: 0.000 μB/atom

Lattice parameters (Å, degrees): 3.3125 3.3880 6.5357 109.31 90.00 90.00
Positions (direct):
Pt 0.5000 0.2500 0.2500
Ta 0.5000 0.7500 0.7500
As 0.0000 0.1217 0.5201
As 0.0000 0.3783 0.9799